KHoGa2Cl6 | PBE | relaxed

abc: 7.517 7.522 7.882
angles: 61.53 61.53 60.05
Space group P1 (No. 1)
Inequivalent atoms, fractional coordinates:
K  0.000  0.000  0.000
Ho  0.509  0.509  0.473
Ga  0.201  0.201  0.396
Ga  0.704  0.704  0.887
Cl  0.163  0.755  0.680
Cl  0.325  0.593  0.211
Cl  0.402  0.163  0.679
Cl  0.593  0.871  0.210
Cl  0.756  0.402  0.679
Cl  0.870  0.326  0.210

---

Rb2HoGaCl6 | PBE | relaxed

abc: 7.596 7.931 13.229
angles: 90.00 124.65 90.00
Space group P2_1/c (No. 14)
Inequivalent atoms, fractional coordinates:
Rb  0.230  0.064  0.249
Ho  0.500  0.000  0.000
Ga  0.000  0.000  0.500
Cl  0.175  0.187  0.956
Cl  0.269  0.723  0.951
Cl  0.357  0.026  0.766

---

Ho3GaSCl | PBE | relaxed

abc: 8.416 3.781 9.642
angles: 90.00 106.83 90.00
Space group P2_1/m (No. 11)
Inequivalent atoms, fractional coordinates:
Ho  0.158  0.250  0.162
Ho  0.328  0.750  0.902
Ho  0.341  0.750  0.515
Ga  0.456  0.750  0.240
S  0.089  0.250  0.870
Cl  0.109  0.250  0.430

---

no.,E_tot (eV/cell),uncorrected formation energy (eV/f.u.)
1,-38.8,-16.04
2,-78.9,-18.85
3,-61.0,-7.76